# 1
Compound: Re2HgBr
Source: Alexandria
Functional: PBE
Structure: optimized geometry

Results
E_form (uncorrected) = 1.4350 eV/atom
energy above the lowest structure with this stoichiometry = 712 meV per atom
magnetization = 0.0 μB/cell

a b c (Å): 4.3381 4.3381 7.5207
angles (deg): 90.00 90.00 90.00
Closest atoms and distances in Å follow each position.
Space group I-4m2 (No. 119)
Unique sites:
Re: 0.0000 0.0000 0.0000  4 Br 2.87, 4 Re 2.87, 4 Hg 3.07
Re: 0.0000 0.5000 0.2500  4 Hg 2.87, 4 Re 2.87, 4 Br 3.07
Hg: 0.0000 0.0000 0.5000  4 Br 2.87, 8 Re 2.87-3.07
Br: 0.0000 0.5000 0.7500  4 Hg 2.87, 8 Re 2.87-3.07


# 2
Compound: Re2HgBr
Source: Alexandria
Functional: PBE
Structure: optimized geometry

Results
E_form (uncorrected) = 1.6441 eV/atom
energy above the lowest structure with this stoichiometry = 921 meV per atom
magnetization = 0.0 μB/cell

a b c (Å): 6.1677 7.8448 2.8826
angles (deg): 90.00 90.00 90.00
Closest atoms and distances in Å follow each position.
Space group Cmmm (No. 65)
Unique sites:
Re: 0.2500 0.2500 0.0000  4 Hg 2.88, 4 Br 2.88, 4 Re 2.88-3.08
Hg: 0.0000 0.0000 0.5000  8 Re 2.88, 2 Hg 2.88, 2 Br 3.08
Br: 0.0000 0.5000 0.5000  8 Re 2.88, 2 Br 2.88, 2 Hg 3.08


# 3
Compound: ReHg2Br
Source: Alexandria
Functional: PBE
Structure: optimized geometry

Results
E_form (uncorrected) = 1.0696 eV/atom
energy above the lowest structure with this stoichiometry = 512 meV per atom
magnetization = 1.3 μB/cell

a b c (Å): 3.0226 4.9460 5.6035
angles (deg): 90.00 90.00 90.00
Closest atoms and distances in Å follow each position.
Space group Pmmm (No. 47)
Unique sites:
Re: 0.0000 0.0000 0.0000  4 Br 2.90, 2 Re 3.02, 4 Hg 3.18
Hg: 0.0000 0.5000 0.5000  6 Hg 2.90-3.02, 4 Br 3.18
Hg: 0.5000 0.0000 0.5000  6 Hg 2.90-3.02, 4 Re 3.18
Br: 0.5000 0.5000 0.0000  4 Re 2.90, 2 Br 3.02, 4 Hg 3.18